Below is a relaxed structure of LiLa2BiP, with properties calculated at the PBE level.

## Properties
For the total magnetization, the calculation gives 0.00 μB/f.u. As for the formation energy from the elements: -0.937 eV/atom. Its space group is P4/mmm.

Geometry as CIF:
```
data_LiLa2BiP
_chemical_formula_sum 'Li1 La2 Bi1 P1'
_space_group_name_H-M_alt 'P 1'
_space_group_IT_number 1
_cell_length_a 5.6747
_cell_length_b 5.6747
_cell_length_c 4.6286
_cell_angle_alpha 90.00
_cell_angle_beta 90.00
_cell_angle_gamma 90.00
loop_
_space_group_symop_operation_xyz
'x,y,z'
loop_
_atom_site_label
_atom_site_type_symbol
_atom_site_fract_x
_atom_site_fract_y
_atom_site_fract_z
_atom_site_occupancy
Li1 Li 0.0000 0.0000 0.0000 1
La1 La 0.0000 0.5000 0.5000 1
La2 La 0.5000 0.0000 0.5000 1
Bi1 Bi 0.5000 0.5000 0.0000 1
P1 P 0.0000 0.0000 0.5000 1
```